Mg2BeCd: relaxed, PBE.

abc: 4.688 4.688 4.688
angles: 60.00 60.00 60.00
Fractional coordinates of all 4 atoms:
1 Mg 0.250 0.250 0.250
2 Be 0.000 0.000 0.000
3 Mg 0.750 0.750 0.750
4 Cd 0.500 0.500 0.500

Calculated values
- Distance to the lowest polymorph of the same formula: 6.9 kJ/mol of atoms
- Formation energy: 0.221 eV per atom